DFT (PBE) results for crystalline NaTbPr at its relaxed geometry.

Calculated values
- Offset from the most stable computed form: 14.2 meV per atom
- Calculated total energy: -3.458 eV per atom
- DFT formation energy: 0.118 eV/atom
- Space group: P3m1, No. 156

abc: 3.612 3.612 9.295
angles: 90.00 90.00 120.00
Fractional coordinates of all 3 atoms:
Na1 0.000 0.000 0.003
Pr1 0.333 0.667 0.650
Tb1 0.667 0.333 0.347